Density functional theory data (PBE) for a relaxed structure of CeZrAgHg. Values from VASP.

Summary:
energy relative to the elements	-0.0459	eV/atom
total magnetic moment	0.57	μB per atom

```
&SYSTEM
  ibrav = 0, nat = 16, ntyp = 4
/
ATOMIC_SPECIES
Ce 140.12 Ce.upf
Zr 91.22 Zr.upf
Ag 107.87 Ag.upf
Hg 200.59 Hg.upf
CELL_PARAMETERS angstrom
7.282 0.000 0.000
0.000 7.282 0.000
0.000 0.000 7.282
ATOMIC_POSITIONS crystal
Ce 0.000 0.000 0.000
Ce 0.000 0.500 0.500
Ce 0.500 0.000 0.500
Ce 0.500 0.500 0.000
Zr 0.000 0.000 0.500
Zr 0.000 0.500 0.000
Zr 0.500 0.000 0.000
Zr 0.500 0.500 0.500
Ag 0.250 0.250 0.250
Ag 0.250 0.750 0.750
Ag 0.750 0.250 0.750
Ag 0.750 0.750 0.250
Hg 0.250 0.250 0.750
Hg 0.250 0.750 0.250
Hg 0.750 0.250 0.250
Hg 0.750 0.750 0.750
```

***

Density functional theory data (PBE) for a relaxed structure of Pr2Sm3ErAs6. Values from VASP.

Summary:
energy relative to the elements	-1.5071	eV/atom
total magnetic moment	0.00	μB per atom

```
&SYSTEM
  ibrav = 0, nat = 12, ntyp = 4
/
ATOMIC_SPECIES
Pr 140.91 Pr.upf
Sm 150.36 Sm.upf
Er 167.26 Er.upf
As 74.92 As.upf
CELL_PARAMETERS angstrom
9.208 -2.114 0.000
9.208 2.114 0.000
-1.943 0.000 8.225
ATOMIC_POSITIONS crystal
Pr 0.165 0.165 0.332
Pr 0.835 0.835 0.668
Sm 0.167 0.167 0.834
Sm 0.500 0.500 0.500
Sm 0.833 0.833 0.166
Er 0.500 0.500 0.000
As 0.002 0.002 0.757
As 0.335 0.335 0.414
As 0.336 0.336 0.922
As 0.664 0.664 0.078
As 0.665 0.665 0.586
As 0.998 0.998 0.243
```

***

Density functional theory data (PBE) for a relaxed structure of CaMg2B9. Values from VASP.

Summary:
energy relative to the elements	0.0771	eV/atom
total magnetic moment	0.00	μB per atom

```
&SYSTEM
  ibrav = 0, nat = 12, ntyp = 3
/
ATOMIC_SPECIES
Ca 40.08 Ca.upf
Mg 24.30 Mg.upf
B 10.81 B.upf
CELL_PARAMETERS angstrom
2.292 1.323 7.129
-2.292 1.323 7.129
0.000 -2.647 7.129
ATOMIC_POSITIONS crystal
Ca 0.000 0.000 0.000
Mg 0.136 0.136 0.136
Mg 0.864 0.864 0.864
B 0.180 0.548 0.548
B 0.248 0.248 0.248
B 0.452 0.452 0.820
B 0.452 0.820 0.452
B 0.500 0.500 0.500
B 0.548 0.180 0.548
B 0.548 0.548 0.180
B 0.752 0.752 0.752
B 0.820 0.452 0.452
```

***

Density functional theory data (PBE) for a relaxed structure of InPdAu14. Values from VASP.

Summary:
energy relative to the elements	-0.0521	eV/atom
total magnetic moment	0.00	μB per atom

```
&SYSTEM
  ibrav = 0, nat = 16, ntyp = 3
/
ATOMIC_SPECIES
In 114.82 In.upf
Pd 106.42 Pd.upf
Au 196.97 Au.upf
CELL_PARAMETERS angstrom
9.565 0.000 0.000
0.000 2.917 5.185
0.000 -2.917 5.185
ATOMIC_POSITIONS crystal
In 0.000 0.000 0.000
Pd 0.000 0.500 0.500
Au 0.000 0.001 0.499
Au 0.000 0.499 0.001
Au 0.248 0.663 0.663
Au 0.249 0.165 0.663
Au 0.249 0.663 0.165
Au 0.251 0.164 0.164
Au 0.500 0.327 0.827
Au 0.500 0.328 0.328
Au 0.500 0.827 0.327
Au 0.500 0.827 0.827
Au 0.749 0.164 0.164
Au 0.751 0.165 0.663
Au 0.751 0.663 0.165
Au 0.752 0.663 0.663
```

***

Density functional theory data (PBE) for a relaxed structure of Ce2ZnSnAu6. Values from VASP.

Summary:
energy relative to the elements	-0.3898	eV/atom
total magnetic moment	0.20	μB per atom

```
&SYSTEM
  ibrav = 0, nat = 10, ntyp = 4
/
ATOMIC_SPECIES
Ce 140.12 Ce.upf
Zn 65.41 Zn.upf
Sn 118.71 Sn.upf
Au 196.97 Au.upf
CELL_PARAMETERS angstrom
5.518 0.000 0.000
2.195 6.321 0.000
2.686 0.158 6.531
ATOMIC_POSITIONS crystal
Ce 0.006 0.255 0.258
Ce 0.994 0.745 0.742
Zn 0.500 0.000 0.500
Sn 0.500 0.500 0.000
Au 0.004 0.757 0.300
Au 0.346 0.936 0.900
Au 0.479 0.334 0.665
Au 0.521 0.666 0.335
Au 0.654 0.064 0.100
Au 0.996 0.243 0.700
```

***

Density functional theory data (PBE) for a relaxed structure of Dy3Y2Tm7. Values from VASP.

Summary:
energy relative to the elements	0.1165	eV/atom
total magnetic moment	0.00	μB per atom
energy above the most stable polymorph in this dataset	30	meV/atom

```
&SYSTEM
  ibrav = 0, nat = 12, ntyp = 3
/
ATOMIC_SPECIES
Dy 162.50 Dy.upf
Y 88.91 Y.upf
Tm 168.93 Tm.upf
CELL_PARAMETERS angstrom
2.806 -18.723 0.000
2.806 18.723 0.000
0.000 0.000 3.558
ATOMIC_POSITIONS crystal
Dy 0.000 0.000 0.000
Dy 0.186 0.814 0.000
Dy 0.814 0.186 0.000
Y 0.353 0.647 0.500
Y 0.647 0.353 0.500
Tm 0.091 0.909 0.500
Tm 0.269 0.731 0.500
Tm 0.429 0.571 0.000
Tm 0.500 0.500 0.500
Tm 0.571 0.429 0.000
Tm 0.731 0.269 0.500
Tm 0.909 0.091 0.500
```

***

Density functional theory data (PBE) for a relaxed structure of VOsCl3. Values from VASP.

Summary:
uncorrected formation energy	688	meV per atom
total magnetic moment	0.65	μB per atom
energy above the most stable polymorph in this dataset	27	meV/atom

```
&SYSTEM
  ibrav = 0, nat = 5, ntyp = 3
/
ATOMIC_SPECIES
V 50.94 V.upf
Os 190.23 Os.upf
Cl 35.45 Cl.upf
CELL_PARAMETERS angstrom
4.793 0.000 0.000
0.000 4.793 0.000
0.000 0.000 4.793
ATOMIC_POSITIONS crystal
V 0.000 0.000 0.000
Os 0.500 0.500 0.500
Cl 0.000 0.500 0.500
Cl 0.500 0.000 0.500
Cl 0.500 0.500 0.000
```

***

Density functional theory data (PBE) for a relaxed structure of Na2CaInF8. Values from VASP.

Summary:
uncorrected formation energy	-2720	meV per atom
total magnetic moment	0.09	μB per atom

```
&SYSTEM
  ibrav = 0, nat = 12, ntyp = 4
/
ATOMIC_SPECIES
Na 22.99 Na.upf
Ca 40.08 Ca.upf
In 114.82 In.upf
F 19.00 F.upf
CELL_PARAMETERS angstrom
3.822 0.000 0.000
0.000 5.597 0.000
0.000 0.000 7.565
ATOMIC_POSITIONS crystal
Na 0.000 0.000 0.248
Na 0.000 0.000 0.752
Ca 0.500 0.500 0.500
In 0.500 0.500 0.000
F 0.000 0.259 0.500
F 0.000 0.277 0.000
F 0.000 0.723 0.000
F 0.000 0.741 0.500
F 0.500 0.268 0.231
F 0.500 0.268 0.769
F 0.500 0.732 0.231
F 0.500 0.732 0.769
```

***

Density functional theory data (PBE) for a relaxed structure of LiIrOs. Values from VASP.

Summary:
energy relative to the elements	0.3225	eV/atom
total magnetic moment	0.01	μB per atom
energy above the most stable polymorph in this dataset	348	meV/atom

```
&SYSTEM
  ibrav = 0, nat = 12, ntyp = 3
/
ATOMIC_SPECIES
Li 6.94 Li.upf
Ir 192.22 Ir.upf
Os 190.23 Os.upf
CELL_PARAMETERS angstrom
2.744 0.000 0.000
0.000 4.583 0.000
0.000 0.000 13.766
ATOMIC_POSITIONS crystal
Li 0.000 0.000 0.000
Li 0.000 0.500 0.500
Li 0.500 0.000 0.500
Li 0.500 0.500 0.000
Ir 0.000 0.000 0.664
Ir 0.000 0.500 0.164
Ir 0.500 0.000 0.164
Ir 0.500 0.500 0.664
Os 0.000 0.000 0.330
Os 0.000 0.500 0.830
Os 0.500 0.000 0.830
Os 0.500 0.500 0.330
```

***

Density functional theory data (PBE) for a relaxed structure of La2DyY2. Values from VASP.

Summary:
energy relative to the elements	0.2291	eV/atom
total magnetic moment	0.00	μB per atom
energy above the most stable polymorph in this dataset	0	meV/atom

```
&SYSTEM
  ibrav = 0, nat = 10, ntyp = 3
/
ATOMIC_SPECIES
La 138.91 La.upf
Dy 162.50 Dy.upf
Y 88.91 Y.upf
CELL_PARAMETERS angstrom
4.377 -4.834 0.000
4.377 4.834 0.000
-2.845 0.000 8.341
ATOMIC_POSITIONS crystal
La 0.000 0.000 0.000
La 0.000 0.000 0.500
La 0.000 0.500 0.000
La 0.500 0.000 0.500
Dy 0.298 0.703 0.750
Dy 0.703 0.298 0.250
Y 0.255 0.441 0.368
Y 0.441 0.255 0.868
Y 0.560 0.745 0.133
Y 0.745 0.560 0.633
```

***

Density functional theory data (PBE) for a relaxed structure of PaZn2Ru. Values from VASP.

Summary:
energy relative to the elements	-0.3789	eV/atom
total magnetic moment	0.00	μB per atom
energy above the most stable polymorph in this dataset	0	meV/atom

```
&SYSTEM
  ibrav = 0, nat = 8, ntyp = 3
/
ATOMIC_SPECIES
Pa 231.04 Pa.upf
Zn 65.41 Zn.upf
Ru 101.07 Ru.upf
CELL_PARAMETERS angstrom
4.659 0.000 0.000
0.000 6.527 0.000
-1.464 0.000 4.734
ATOMIC_POSITIONS crystal
Pa 0.038 0.250 0.151
Pa 0.962 0.750 0.849
Zn 0.418 0.052 0.728
Zn 0.418 0.448 0.728
Zn 0.582 0.552 0.272
Zn 0.582 0.948 0.272
Ru 0.104 0.750 0.366
Ru 0.896 0.250 0.634
```

***

Density functional theory data (PBE) for a relaxed structure of La8YTm5. Values from VASP.

Summary:
energy relative to the elements	0.1615	eV/atom
total magnetic moment	0.00	μB per atom

```
&SYSTEM
  ibrav = 0, nat = 14, ntyp = 3
/
ATOMIC_SPECIES
La 138.91 La.upf
Y 88.91 Y.upf
Tm 168.93 Tm.upf
CELL_PARAMETERS angstrom
8.594 0.000 0.000
-3.888 7.705 0.000
-1.273 -4.475 7.411
ATOMIC_POSITIONS crystal
La 0.000 0.000 0.000
La 0.015 0.415 0.809
La 0.390 0.288 0.855
La 0.415 0.006 0.442
La 0.527 0.770 0.059
La 0.677 0.546 0.682
La 0.796 0.893 0.513
La 0.856 0.286 0.308
Y 0.483 0.280 0.219
Tm 0.135 0.767 0.634
Tm 0.185 0.236 0.465
Tm 0.268 0.530 0.270
Tm 0.625 0.060 0.854
Tm 0.898 0.633 0.168
```

***

Density functional theory data (PBE) for a relaxed structure of Be2GeRh. Values from VASP.

Summary:
energy relative to the elements	0.2354	eV/atom
total magnetic moment	0.00	μB per atom

```
&SYSTEM
  ibrav = 0, nat = 16, ntyp = 3
/
ATOMIC_SPECIES
Be 9.01 Be.upf
Ge 72.64 Ge.upf
Rh 102.91 Rh.upf
CELL_PARAMETERS angstrom
6.454 0.000 0.000
0.000 6.454 0.000
0.000 0.000 4.970
ATOMIC_POSITIONS crystal
Be 0.235 0.250 0.125
Be 0.250 0.735 0.375
Be 0.250 0.765 0.875
Be 0.265 0.250 0.625
Be 0.735 0.750 0.625
Be 0.750 0.235 0.875
Be 0.750 0.265 0.375
Be 0.765 0.750 0.125
Ge 0.000 0.000 0.500
Ge 0.000 0.500 0.750
Ge 0.500 0.000 0.250
Ge 0.500 0.500 0.000
Rh 0.000 0.000 0.000
Rh 0.000 0.500 0.250
Rh 0.500 0.000 0.750
Rh 0.500 0.500 0.500
```

***

Density functional theory data (PBE) for a relaxed structure of Ca2PtF. Values from VASP.

Summary:
uncorrected formation energy	-1752	meV per atom
total magnetic moment	0.00	μB per atom
energy above the most stable polymorph in this dataset	0	meV/atom

```
&SYSTEM
  ibrav = 0, nat = 16, ntyp = 3
/
ATOMIC_SPECIES
Ca 40.08 Ca.upf
Pt 195.08 Pt.upf
F 19.00 F.upf
CELL_PARAMETERS angstrom
6.789 0.000 0.000
0.000 6.789 0.000
0.000 0.000 7.629
ATOMIC_POSITIONS crystal
Ca 0.191 0.250 0.125
Ca 0.250 0.691 0.375
Ca 0.250 0.809 0.875
Ca 0.309 0.250 0.625
Ca 0.691 0.750 0.625
Ca 0.750 0.191 0.875
Ca 0.750 0.309 0.375
Ca 0.809 0.750 0.125
Pt 0.000 0.000 0.500
Pt 0.000 0.500 0.750
Pt 0.500 0.000 0.250
Pt 0.500 0.500 0.000
F 0.000 0.000 0.000
F 0.000 0.500 0.250
F 0.500 0.000 0.750
F 0.500 0.500 0.500
```

***

Density functional theory data (PBE) for a relaxed structure of BaCa2Au3. Values from VASP.

Summary:
energy relative to the elements	-0.7172	eV/atom
total magnetic moment	0.00	μB per atom

```
&SYSTEM
  ibrav = 0, nat = 12, ntyp = 3
/
ATOMIC_SPECIES
Ba 137.33 Ba.upf
Ca 40.08 Ca.upf
Au 196.97 Au.upf
CELL_PARAMETERS angstrom
5.342 0.000 0.000
0.000 15.925 0.000
0.000 0.000 3.799
ATOMIC_POSITIONS crystal
Ba 0.000 0.000 0.000
Ba 0.500 0.500 0.000
Ca 0.000 0.332 0.000
Ca 0.000 0.668 0.000
Ca 0.500 0.168 0.000
Ca 0.500 0.832 0.000
Au 0.000 0.182 0.500
Au 0.000 0.500 0.500
Au 0.000 0.818 0.500
Au 0.500 0.000 0.500
Au 0.500 0.318 0.500
Au 0.500 0.682 0.500
```

***

Density functional theory data (PBE) for a relaxed structure of Ce3NdBi2. Values from VASP.

Summary:
energy relative to the elements	-0.4902	eV/atom
total magnetic moment	0.35	μB per atom

```
&SYSTEM
  ibrav = 0, nat = 12, ntyp = 3
/
ATOMIC_SPECIES
Ce 140.12 Ce.upf
Nd 144.24 Nd.upf
Bi 208.98 Bi.upf
CELL_PARAMETERS angstrom
9.487 -2.112 0.000
9.487 2.112 0.000
-3.515 0.000 8.976
ATOMIC_POSITIONS crystal
Ce 0.068 0.068 0.111
Ce 0.295 0.295 0.574
Ce 0.373 0.373 0.012
Ce 0.627 0.627 0.988
Ce 0.705 0.705 0.426
Ce 0.932 0.932 0.889
Nd 0.103 0.103 0.621
Nd 0.897 0.897 0.379
Bi 0.259 0.259 0.210
Bi 0.477 0.477 0.670
Bi 0.523 0.523 0.330
Bi 0.741 0.741 0.790
```

***

Density functional theory data (PBE) for a relaxed structure of ScCoRe2Au. Values from VASP.

Summary:
energy relative to the elements	2.4155	eV/atom
total magnetic moment	0.10	μB per atom

```
&SYSTEM
  ibrav = 0, nat = 5, ntyp = 4
/
ATOMIC_SPECIES
Sc 44.96 Sc.upf
Co 58.93 Co.upf
Re 186.21 Re.upf
Au 196.97 Au.upf
CELL_PARAMETERS angstrom
4.575 0.000 0.000
0.000 4.575 0.000
0.000 0.000 4.838
ATOMIC_POSITIONS crystal
Sc 0.000 0.000 0.000
Co 0.500 0.500 0.500
Re 0.000 0.500 0.000
Re 0.500 0.000 0.000
Au 0.000 0.000 0.500
```

***

Density functional theory data (PBE) for a relaxed structure of Dy4PtSe5. Values from VASP.

Summary:
uncorrected formation energy	-1576	meV per atom
total magnetic moment	0.00	μB per atom

```
&SYSTEM
  ibrav = 0, nat = 10, ntyp = 3
/
ATOMIC_SPECIES
Dy 162.50 Dy.upf
Pt 195.08 Pt.upf
Se 78.96 Se.upf
CELL_PARAMETERS angstrom
8.914 -2.044 0.000
8.914 2.044 0.000
-2.296 0.000 8.009
ATOMIC_POSITIONS crystal
Dy 0.003 0.003 0.261
Dy 0.322 0.322 0.882
Dy 0.678 0.678 0.118
Dy 0.997 0.997 0.739
Pt 0.500 0.500 0.000
Se 0.162 0.162 0.863
Se 0.163 0.163 0.335
Se 0.500 0.500 0.500
Se 0.837 0.837 0.665
Se 0.838 0.838 0.137
```

***

Density functional theory data (PBE) for a relaxed structure of Cd12In16Cl. Values from VASP.

Summary:
uncorrected formation energy	-10	meV per atom
total magnetic moment	0.00	μB per atom

```
&SYSTEM
  ibrav = 0, nat = 29, ntyp = 3
/
ATOMIC_SPECIES
Cd 112.41 Cd.upf
In 114.82 In.upf
Cl 35.45 Cl.upf
CELL_PARAMETERS angstrom
5.697 -8.142 0.000
5.697 8.142 0.000
-5.690 0.000 8.021
ATOMIC_POSITIONS crystal
Cd 0.000 0.000 0.000
Cd 0.023 0.209 0.831
Cd 0.208 0.582 0.007
Cd 0.209 0.023 0.831
Cd 0.215 0.215 0.385
Cd 0.384 0.597 0.553
Cd 0.384 0.794 0.376
Cd 0.582 0.208 0.007
Cd 0.586 0.770 0.202
Cd 0.597 0.384 0.553
Cd 0.770 0.586 0.202
Cd 0.794 0.384 0.376
In 0.051 0.392 0.196
In 0.062 0.800 0.178
In 0.100 0.397 0.612
In 0.114 0.720 0.508
In 0.392 0.051 0.196
In 0.395 0.809 0.885
In 0.397 0.100 0.612
In 0.398 0.398 0.216
In 0.407 0.407 0.883
In 0.667 0.986 0.779
In 0.720 0.114 0.508
In 0.737 0.737 0.538
In 0.800 0.062 0.178
In 0.809 0.395 0.885
In 0.986 0.667 0.779
In 0.995 0.995 0.483
Cl 0.638 0.638 0.842
```

***

Density functional theory data (PBE) for a relaxed structure of RbSe2F7. Values from VASP.

Summary:
uncorrected formation energy	-1686	meV per atom
total magnetic moment	0.00	μB per atom

```
&SYSTEM
  ibrav = 0, nat = 10, ntyp = 3
/
ATOMIC_SPECIES
Rb 85.47 Rb.upf
Se 78.96 Se.upf
F 19.00 F.upf
CELL_PARAMETERS angstrom
3.309 -6.756 0.000
3.309 6.756 0.000
0.000 0.000 4.150
ATOMIC_POSITIONS crystal
Rb 0.000 0.000 0.000
Se 0.343 0.657 0.500
Se 0.657 0.343 0.500
F 0.071 0.355 0.500
F 0.346 0.654 0.000
F 0.355 0.071 0.500
F 0.500 0.500 0.500
F 0.645 0.929 0.500
F 0.654 0.346 0.000
F 0.929 0.645 0.500
```

***

Density functional theory data (PBE) for a relaxed structure of Li2ScVIr. Values from VASP.

Summary:
energy relative to the elements	0.3847	eV/atom
total magnetic moment	0.37	μB per atom

```
&SYSTEM
  ibrav = 0, nat = 5, ntyp = 4
/
ATOMIC_SPECIES
Li 6.94 Li.upf
Sc 44.96 Sc.upf
V 50.94 V.upf
Ir 192.22 Ir.upf
CELL_PARAMETERS angstrom
4.570 0.000 0.000
0.000 4.570 0.000
0.000 0.000 4.582
ATOMIC_POSITIONS crystal
Li 0.000 0.500 0.000
Li 0.500 0.000 0.000
Sc 0.000 0.000 0.500
V 0.500 0.500 0.500
Ir 0.500 0.500 0.000
```